Material: AlCd2Cu
Method: DFT, PBE-GGA
State: relaxed

## Properties
Magnetic moment ... 0.00 μB per atom
E ... -9.1 eV for the cell shown
Space-group type ... No. 10
Volume ... 18.65 A^3/atom

Unit cell a=3.058 b=4.955 c=4.934 alpha=90.00 beta=93.75 gamma=90.00
Sites, in units of the cell vectors:
1 Al 0.000 0.000 0.000
2 Cd 0.248 0.500 0.255
3 Cd 0.752 0.500 0.745
4 Cu 0.500 0.000 0.500

Material: ScWSe
Method: DFT, PBE-GGA
State: relaxed

## Properties
Magnetic moment ... 0.32 μB per atom
E ... -21.9 eV for the cell shown
E above lowest polymorph ... 402 meV per atom
Space-group type ... No. 216
Volume ... 19.21 A^3/atom

Unit cell a=4.336 b=4.336 c=4.336 alpha=60.00 beta=60.00 gamma=60.00
Sites, in units of the cell vectors:
1 Sc 0.000 0.000 0.000
2 W 0.500 0.500 0.500
3 Se 0.250 0.250 0.250

Material: K3Pr2US6
Method: DFT, PBE-GGA
State: relaxed

## Properties
Magnetic moment ... 0.25 μB per atom
E ... -68.9 eV for the cell shown
Space-group type ... No. 12
Volume ... 28.00 A^3/atom

Unit cell a=7.239 b=7.239 c=7.786 alpha=98.92 beta=98.92 gamma=120.01
Sites, in units of the cell vectors:
1 K 0.000 0.000 0.000
2 K 0.332 0.668 0.000
3 K 0.668 0.332 0.000
4 Pr 0.166 0.834 0.500
5 Pr 0.834 0.166 0.500
6 U 0.500 0.500 0.500
7 S 0.108 0.431 0.293
8 S 0.246 0.246 0.707
9 S 0.431 0.108 0.293
10 S 0.569 0.892 0.707
11 S 0.754 0.754 0.293
12 S 0.892 0.569 0.707